VASP calculation (PBE) on an optimized crystal structure of Nb6PtRh.

Properties
Density of states at the Fermi level = 1.07 states/eV/atom
Space-group type = I4/mmm (139)
DFT formation energy = -25.3 kJ/mol of atoms
E_tot = -75.91 eV for the cell shown

Cell lengths 7.172, 7.172, 7.172 Å; angles 141.83, 141.83, 55.08 degrees
Fractional coordinates of all 8 atoms:
Nb (0.125, 0.625, 0.500)
Nb (0.250, 0.250, 0.000)
Nb (0.375, 0.875, 0.500)
Nb (0.625, 0.125, 0.500)
Nb (0.750, 0.750, 0.000)
Nb (0.875, 0.375, 0.500)
Pt (0.000, 0.000, 0.000)
Rh (0.500, 0.500, 0.000)